Version w
This record from Alexandria describes RbScTi after structural relaxation. The functional is PBE-GGA.

Output
SG   P1

a b c (Å): 3.623 3.631 15.350
angles (deg): 90.06 90.10 90.00
Positions (direct):
Rb: 0.000 0.000 0.000
Rb: 0.497 0.499 0.288
Sc: 0.001 0.001 0.667
Sc: 0.501 0.502 0.785
Ti: 0.500 0.500 0.567
Ti: 0.999 0.000 0.485

***

Version x
This record from Alexandria describes RbScTi after structural relaxation. The functional is PBE-GGA.

Output
SG   Cm

a b c (Å): 4.722 4.722 12.927
angles (deg): 100.75 100.75 60.03
Positions (direct):
Rb: 0.000 0.000 0.000
Rb: 0.229 0.229 0.669
Sc: 0.482 0.482 0.435
Sc: 0.773 0.773 0.311
Ti: 0.108 0.108 0.313
Ti: 0.409 0.409 0.219

***

Version y
This record from Alexandria describes RbScTi after structural relaxation. The functional is PBE-GGA.

Output
SG   P-6m2

a b c (Å): 5.781 5.781 3.183
angles (deg): 90.00 90.00 120.00
Positions (direct):
Rb: 0.000 0.000 0.000
Sc: 0.333 0.667 0.500
Ti: 0.667 0.333 0.500

***

Energies relative to the most stable structure are version w 0; version x 47; version y 696, reported in meV/atom.

***

Version w
This record from Alexandria describes Rb2ScTi after structural relaxation. The functional is PBE-GGA.

Output
SG   Fm-3m

a b c (Å): 6.257 6.257 6.257
angles (deg): 60.00 60.00 60.00
Positions (direct):
Rb: 0.250 0.250 0.250
Rb: 0.750 0.750 0.750
Sc: 0.000 0.000 0.000
Ti: 0.500 0.500 0.500

***

Version x
This record from Alexandria describes Rb2ScTi after structural relaxation. The functional is PBE-GGA.

Output
SG   I-42d

a b c (Å): 10.035 10.035 10.035
angles (deg): 94.23 94.23 148.48
Positions (direct):
Rb: 0.375 0.226 0.351
Rb: 0.774 0.125 0.149
Rb: 0.875 0.024 0.649
Rb: 0.976 0.625 0.851
Sc: 0.250 0.750 0.500
Sc: 0.500 0.500 0.000
Ti: 0.000 0.000 0.000
Ti: 0.750 0.250 0.500

***

Energies relative to the most stable structure are version w 182; version x 0, reported in meV/atom.

***

Version w
This record from Alexandria describes RbScTl3 after structural relaxation. The functional is PBE-GGA.

Output
SG   Pm-3m

a b c (Å): 5.784 5.784 5.784
angles (deg): 90.00 90.00 90.00
Positions (direct):
Rb: 0.000 0.000 0.000
Sc: 0.500 0.500 0.500
Tl: 0.000 0.500 0.500
Tl: 0.500 0.000 0.500
Tl: 0.500 0.500 0.000

***

Version x
This record from Alexandria describes RbScTl3 after structural relaxation. The functional is PBE-GGA.

Output
SG   Pm-3m

a b c (Å): 6.059 6.059 6.059
angles (deg): 90.00 90.00 90.00
Positions (direct):
Rb: 0.000 0.000 0.000
Sc: 0.500 0.500 0.500
Tl: 0.000 0.000 0.500
Tl: 0.000 0.500 0.000
Tl: 0.500 0.000 0.000

***

Energies relative to the most stable structure are version w 0; version x 933, reported in meV/atom.

***

Version w
This record from Alexandria describes RbScTl2 after structural relaxation. The functional is PBE-GGA.

Output
SG   Fm-3m

a b c (Å): 5.620 5.620 5.620
angles (deg): 60.00 60.00 60.00
Positions (direct):
Rb: 0.000 0.000 0.000
Sc: 0.500 0.500 0.500
Tl: 0.250 0.250 0.250
Tl: 0.750 0.750 0.750

***

Version x
This record from Alexandria describes RbScTl2 after structural relaxation. The functional is PBE-GGA.

Output
SG   P4/mmm

a b c (Å): 3.748 3.748 8.878
angles (deg): 90.00 90.00 90.00
Positions (direct):
Rb: 0.000 0.000 0.000
Sc: 0.000 0.000 0.500
Tl: 0.500 0.500 0.309
Tl: 0.500 0.500 0.691

***

Version y
This record from Alexandria describes RbScTl2 after structural relaxation. The functional is PBE-GGA.

Output
SG   R-3m

a b c (Å): 11.099 11.099 11.099
angles (deg): 18.92 18.92 18.92
Positions (direct):
Rb: 0.000 0.000 0.000
Sc: 0.500 0.500 0.500
Tl: 0.238 0.238 0.238
Tl: 0.762 0.762 0.762

***

Energies relative to the most stable structure are version w 280; version x 0; version y 154, reported in meV/atom.

***

Version w
This record from Alexandria describes RbSc2Tl after structural relaxation. The functional is PBE-GGA.

Output
SG   R-3m

a b c (Å): 11.925 11.925 11.925
angles (deg): 16.78 16.78 16.78
Positions (direct):
Rb: 0.000 0.000 0.000
Sc: 0.099 0.099 0.099
Sc: 0.901 0.901 0.901
Tl: 0.500 0.500 0.500

***

Version x
This record from Alexandria describes RbSc2Tl after structural relaxation. The functional is PBE-GGA.

Output
SG   Fm-3m

a b c (Å): 5.374 5.374 5.374
angles (deg): 60.00 60.00 60.00
Positions (direct):
Rb: 0.000 0.000 0.000
Sc: 0.250 0.250 0.250
Sc: 0.750 0.750 0.750
Tl: 0.500 0.500 0.500

***

Energies relative to the most stable structure are version w 0; version x 122, reported in meV/atom.

***

Version w
This record from Alexandria describes RbScW2 after structural relaxation. The functional is PBE-GGA.

Output
SG   Fm-3m

a b c (Å): 4.919 4.919 4.919
angles (deg): 60.00 60.00 60.00
Positions (direct):
Rb: 0.000 0.000 0.000
Sc: 0.500 0.500 0.500
W: 0.250 0.250 0.250
W: 0.750 0.750 0.750

***

Version x
This record from Alexandria describes RbScW2 after structural relaxation. The functional is PBE-GGA.

Output
SG   I-42d

a b c (Å): 10.996 10.996 10.996
angles (deg): 158.38 158.38 30.76
Positions (direct):
Rb: 0.000 0.000 0.000
Rb: 0.750 0.250 0.500
Sc: 0.250 0.750 0.500
Sc: 0.500 0.500 0.000
W: 0.184 0.125 0.559
W: 0.375 0.816 0.941
W: 0.566 0.625 0.441
W: 0.875 0.434 0.059

***

Energies relative to the most stable structure are version w 435; version x 0, reported in meV/atom.

***

Version w
This record from Alexandria describes RbSc3W after structural relaxation. The functional is PBE-GGA.

Output
SG   Pm-3m

a b c (Å): 5.336 5.336 5.336
angles (deg): 90.00 90.00 90.00
Positions (direct):
Rb: 0.000 0.000 0.000
Sc: 0.000 0.500 0.500
Sc: 0.500 0.000 0.500
Sc: 0.500 0.500 0.000
W: 0.500 0.500 0.500

***

Version x
This record from Alexandria describes RbSc3W after structural relaxation. The functional is PBE-GGA.

Output
SG   Pm-3m

a b c (Å): 4.857 4.857 4.857
angles (deg): 90.00 90.00 90.00
Positions (direct):
Rb: 0.000 0.000 0.000
Sc: 0.000 0.000 0.500
Sc: 0.000 0.500 0.000
Sc: 0.500 0.000 0.000
W: 0.500 0.500 0.500

***

Energies relative to the most stable structure are version w 0; version x 1345, reported in meV/atom.

***

Version w
This record from Alexandria describes RbY3Sc after structural relaxation. The functional is PBE-GGA.

Output
SG   Pm-3m

a b c (Å): 5.847 5.847 5.847
angles (deg): 90.00 90.00 90.00
Positions (direct):
Rb: 0.000 0.000 0.000
Y: 0.000 0.500 0.500
Y: 0.500 0.000 0.500
Y: 0.500 0.500 0.000
Sc: 0.500 0.500 0.500

***

Version x
This record from Alexandria describes RbY3Sc after structural relaxation. The functional is PBE-GGA.

Output
SG   Pm-3m

a b c (Å): 5.479 5.479 5.479
angles (deg): 90.00 90.00 90.00
Positions (direct):
Rb: 0.000 0.000 0.000
Y: 0.000 0.000 0.500
Y: 0.000 0.500 0.000
Y: 0.500 0.000 0.000
Sc: 0.500 0.500 0.500

***

Energies relative to the most stable structure are version w 0; version x 552, reported in meV/atom.

***

Version w
This record from Alexandria describes Rb2YSc after structural relaxation. The functional is PBE-GGA.

Output
SG   Fm-3m

a b c (Å): 6.383 6.383 6.383
angles (deg): 60.00 60.00 60.00
Positions (direct):
Rb: 0.250 0.250 0.250
Rb: 0.750 0.750 0.750
Y: 0.000 0.000 0.000
Sc: 0.500 0.500 0.500

***

Version x
This record from Alexandria describes Rb2YSc after structural relaxation. The functional is PBE-GGA.

Output
SG   I-42d

a b c (Å): 8.287 8.287 8.287
angles (deg): 99.66 99.66 131.63
Positions (direct):
Rb: 0.108 0.625 0.983
Rb: 0.375 0.358 0.483
Rb: 0.642 0.125 0.017
Rb: 0.875 0.892 0.517
Y: 0.250 0.750 0.500
Y: 0.500 0.500 0.000
Sc: 0.000 0.000 0.000
Sc: 0.750 0.250 0.500

***

Energies relative to the most stable structure are version w 0; version x 19, reported in meV/atom.

***

Version w
This record from Alexandria describes Rb2ZrSc after structural relaxation. The functional is PBE-GGA.

Output
SG   Fm-3m

a b c (Å): 6.049 6.049 6.049
angles (deg): 60.00 60.00 60.00
Positions (direct):
Rb: 0.250 0.250 0.250
Rb: 0.750 0.750 0.750
Zr: 0.000 0.000 0.000
Sc: 0.500 0.500 0.500

***

Version x
This record from Alexandria describes Rb2ZrSc after structural relaxation. The functional is PBE-GGA.

Output
SG   I-42d

a b c (Å): 7.830 7.830 7.830
angles (deg): 99.09 99.09 133.17
Positions (direct):
Rb: 0.122 0.625 0.997
Rb: 0.375 0.372 0.497
Rb: 0.628 0.125 0.003
Rb: 0.875 0.878 0.503
Zr: 0.000 0.000 0.000
Zr: 0.750 0.250 0.500
Sc: 0.250 0.750 0.500
Sc: 0.500 0.500 0.000

***

Energies relative to the most stable structure are version w 57; version x 0, reported in meV/atom.

***

Version w
This record from Alexandria describes RbZrSc3 after structural relaxation. The functional is PBE-GGA.

Output
SG   Pm-3m

a b c (Å): 5.051 5.051 5.051
angles (deg): 90.00 90.00 90.00
Positions (direct):
Rb: 0.000 0.000 0.000
Zr: 0.500 0.500 0.500
Sc: 0.000 0.000 0.500
Sc: 0.000 0.500 0.000
Sc: 0.500 0.000 0.000

***

Version x
This record from Alexandria describes RbZrSc3 after structural relaxation. The functional is PBE-GGA.

Output
SG   Pm-3m

a b c (Å): 5.528 5.528 5.528
angles (deg): 90.00 90.00 90.00
Positions (direct):
Rb: 0.000 0.000 0.000
Zr: 0.500 0.500 0.500
Sc: 0.000 0.500 0.500
Sc: 0.500 0.000 0.500
Sc: 0.500 0.500 0.000

***

Energies relative to the most stable structure are version w 626; version x 0, reported in meV/atom.

***

Version w
This record from Alexandria describes RbSe3 after structural relaxation. The functional is PBE-GGA.

Output
SG   P-1

a b c (Å): 5.861 7.080 7.398
angles (deg): 92.29 103.16 113.95
Positions (direct):
Rb: 0.164 0.193 0.300
Rb: 0.836 0.807 0.700
Se: 0.217 0.691 0.425
Se: 0.319 0.559 0.950
Se: 0.436 0.837 0.194
Se: 0.564 0.163 0.806
Se: 0.681 0.441 0.050
Se: 0.783 0.309 0.575

***

Version x
This record from Alexandria describes RbSe3 after structural relaxation. The functional is PBE-GGA.

Output
SG   Pmm2

a b c (Å): 3.675 4.142 7.937
angles (deg): 90.00 90.00 90.00
Positions (direct):
Rb: 0.000 0.000 0.000
Se: 0.000 0.500 0.506
Se: 0.500 0.000 0.374
Se: 0.500 0.500 0.746

***

Energies relative to the most stable structure are version w 0; version x 373, reported in meV/atom.